[1]
A relaxed Ca2TeO4 crystal, computed with PBE.

The structure in POSCAR format:
```
Ca2TeO4
1.0
-0.789 -2.607 5.949
-1.532 -5.683 -2.694
5.975 -0.003 -3.391
O Ca Te
8 4 2
direct
0.017 0.750 0.932
0.503 0.457 0.770
0.000 0.250 0.666
0.503 0.043 0.770
0.983 0.250 0.068
0.000 0.750 0.334
0.497 0.543 0.230
0.497 0.957 0.230
0.143 0.250 0.455
0.358 0.250 0.012
0.642 0.750 0.988
0.857 0.750 0.545
0.284 0.750 0.252
0.716 0.250 0.748
```

Output
formation energy (no corrections): -2.014 eV per atom
space group: No. 11
V: 121.2 Å³/f.u.
size of the total moment: 0.000 μB per atom

[2]
A relaxed SrHf2Ir2 crystal, computed with PBE.

The structure in POSCAR format:
```
SrHf2Ir2
1.0
-3.155 2.827 1.518
-3.206 -2.856 -1.344
-3.030 -2.566 5.150
Sr Ir Hf
1 2 2
direct
0.000 0.000 0.000
0.620 0.620 0.761
0.380 0.380 0.239
0.250 0.750 0.500
0.750 0.250 0.500
```

Output
energy above the most stable polymorph in this dataset: 0.00 eV per formula unit
energy of formation: -0.745 eV per atom
space group: No. 139
V: 114.8 Å³/f.u.
size of the total moment: 0.000 μB per atom

[3]
A relaxed Ta2TeH crystal, computed with PBE.

The structure in POSCAR format:
```
Ta2TeH
1.0
0.000 3.215 3.215
3.215 0.000 3.215
3.215 3.215 0.000
H Ta Te
1 2 1
direct
0.000 0.000 0.000
0.750 0.750 0.750
0.250 0.250 0.250
0.500 0.500 0.500
```

Output
energy above the most stable polymorph in this dataset: 1.89 eV per formula unit
space group: No. 225
V: 66.5 Å³/f.u.
size of the total moment: 0.000 μB per atom

[4]
A relaxed ZnCuTe2 crystal, computed with PBE.

The structure in POSCAR format:
```
ZnCuTe2
1.0
3.978 0.000 0.000
0.000 3.978 0.000
0.000 0.000 5.640
Zn Te Cu
1 2 1
direct
0.500 0.500 0.000
0.000 0.000 0.000
0.500 0.500 0.500
0.000 0.000 0.500
```

Output
formation energy (no corrections): -0.056 eV per atom
energy above the most stable polymorph in this dataset: 0.68 eV per formula unit
space group: No. 123
V: 89.2 Å³/f.u.
size of the total moment: 0.000 μB per atom

[5]
A relaxed InSi2Mo crystal, computed with PBE.

The structure in POSCAR format:
```
InSi2Mo
1.0
5.094 -0.013 -0.006
4.057 3.081 -0.006
0.361 0.121 4.305
Mo Si In
1 2 1
direct
0.744 0.744 0.785
0.038 0.038 0.952
0.232 0.232 0.283
0.486 0.486 0.480
```

Output
formation energy (no corrections): 0.327 eV per atom
space group: No. 8
V: 67.8 Å³/f.u.
size of the total moment: 0.000 μB per atom

[6]
A relaxed TlReMo2 crystal, computed with PBE.

The structure in POSCAR format:
```
TlReMo2
1.0
-1.489 4.602 2.384
-4.909 0.164 2.226
4.775 -2.507 0.009
Tl Re Mo
1 1 2
direct
0.748 0.248 0.500
0.484 0.484 0.000
0.015 0.015 0.000
0.253 0.753 0.500
```

Output
energy above the most stable polymorph in this dataset: 0.75 eV per formula unit
energy of formation: 0.607 eV per atom
space group: No. 44
V: 68.3 Å³/f.u.
size of the total moment: 0.000 μB per atom

[7]
A relaxed YBeH2W crystal, computed with PBE.

The structure in POSCAR format:
```
YBeH2W
1.0
-0.194 -0.828 -3.860
-3.417 -2.798 0.772
-2.552 2.976 -0.509
W Be H Y
1 1 2 1
direct
0.000 0.500 0.000
0.000 0.000 0.000
0.500 0.000 0.000
0.000 0.000 0.500
0.500 0.500 0.500
```

Output
E: -4.87 eV/atom
space group: No. 123
V: 70.1 Å³/f.u.
size of the total moment: 0.000 μB per atom

[8]
A relaxed Pr2NdDy4 crystal, computed with PBE.

The structure in POSCAR format:
```
Pr2NdDy4
1.0
-6.830 2.130 6.116
0.107 -7.489 2.723
5.560 2.922 -2.049
Nd Dy Pr
1 4 2
direct
0.000 0.000 0.000
0.688 0.714 0.002
0.312 0.286 0.998
0.313 0.715 0.002
0.687 0.285 0.999
0.222 0.772 0.444
0.778 0.228 0.556
```

Output
energy above the most stable polymorph in this dataset: 0.00 eV per formula unit
energy of formation: 0.199 eV per atom
space group: No. 12
V: 238.8 Å³/f.u.
size of the total moment: 0.000 μB per atom

[9]
A relaxed Sb2PRh crystal, computed with PBE.

The structure in POSCAR format:
```
Sb2PRh
1.0
3.087 -3.728 0.000
3.087 3.728 0.000
0.000 0.000 3.396
Sb P Rh
2 1 1
direct
0.000 0.500 0.000
0.500 0.000 0.000
0.000 0.000 0.500
0.500 0.500 0.500
```

Output
formation energy (no corrections): 0.235 eV per atom
space group: No. 65
V: 78.1 Å³/f.u.
size of the total moment: 0.000 μB per atom

[10]
A relaxed CaInGe2O crystal, computed with PBE.

The structure in POSCAR format:
```
CaInGe2O
1.0
-1.792 -4.600 -0.826
4.434 -0.952 -4.317
3.046 -1.821 3.530
Ge O Ca In
2 1 1 1
direct
0.000 0.000 0.500
0.500 0.000 0.000
0.500 0.500 0.500
0.000 0.500 0.000
0.000 0.000 0.000
```

Output
formation energy (no corrections): 0.719 eV per atom
space group: No. 123
V: 156.8 Å³/f.u.
size of the total moment: 0.000 μB per atom

[11]
A relaxed Ge2HPt4 crystal, computed with PBE.

The structure in POSCAR format:
```
Ge2HPt4
1.0
-0.261 3.274 6.052
5.683 -3.568 1.012
-1.220 4.821 -4.402
Pt Ge H
8 4 2
direct
0.455 0.122 0.879
0.367 0.564 0.340
0.998 0.838 0.321
0.305 0.567 0.736
0.903 0.543 0.750
0.283 0.047 0.192
0.751 0.031 0.634
0.936 0.218 0.193
0.549 0.333 0.692
0.146 0.302 0.841
0.642 0.953 0.186
0.753 0.555 0.364
0.226 0.790 0.467
0.935 0.886 0.906
```

Output
E: -5.45 eV/atom
space group: No. 1
V: 107.3 Å³/f.u.
size of the total moment: 0.000 μB per atom

[12]
A relaxed Pm3Ho2In crystal, computed with PBE.

The structure in POSCAR format:
```
Pm3Ho2In
1.0
4.906 0.000 0.000
0.000 4.700 -1.589
0.000 0.087 8.001
Ho Pm In
2 3 1
direct
0.000 0.338 0.675
0.000 0.662 0.325
0.500 0.169 0.338
0.500 0.500 0.000
0.500 0.831 0.662
0.000 0.000 0.000
```

Output
energy above the most stable polymorph in this dataset: 0.00 eV per formula unit
energy of formation: -0.157 eV per atom
space group: No. 65
V: 185.2 Å³/f.u.
size of the total moment: 0.000 μB per atom

[13]
A relaxed NaAcAlPb crystal, computed with PBE.

The structure in POSCAR format:
```
NaAcAlPb
1.0
-2.987 0.696 4.645
-1.366 -4.405 3.117
2.382 -0.734 4.977
Ac Na Pb Al
1 1 1 1
direct
0.750 0.750 0.750
0.250 0.250 0.250
0.000 0.000 0.000
0.500 0.500 0.500
```

Output
energy of formation: -0.134 eV per atom
space group: No. 216
V: 121.9 Å³/f.u.
size of the total moment: 0.000 μB per atom

[14]
A relaxed TiZnPt crystal, computed with PBE.

The structure in POSCAR format:
```
TiZnPt
1.0
5.528 0.000 -0.014
0.000 3.976 0.000
-3.528 0.000 8.284
Zn Pt Ti
4 4 4
direct
0.595 0.000 0.662
0.405 0.000 0.338
0.405 0.500 0.838
0.595 0.500 0.162
0.108 0.000 0.671
0.892 0.000 0.329
0.892 0.500 0.829
0.108 0.500 0.171
0.759 0.000 0.002
0.241 0.000 0.998
0.759 0.500 0.502
0.241 0.500 0.498
```

Output
energy of formation: -0.650 eV per atom
space group: No. 12
V: 45.5 Å³/f.u.
size of the total moment: 0.000 μB per atom

[15]
A relaxed MnFeCuMoAu crystal, computed with PBE.

The structure in POSCAR format:
```
MnFeCuMoAu
1.0
-1.337 2.543 0.165
-2.482 -1.258 -0.733
-3.388 -2.842 16.341
Mn Cu Mo Fe Au
2 2 2 2 2
direct
0.000 0.000 0.076
0.500 0.500 0.576
0.000 0.000 0.666
0.500 0.500 0.166
0.000 0.000 0.899
0.500 0.500 0.399
0.000 0.000 0.489
0.500 0.500 0.989
0.000 0.000 0.274
0.500 0.500 0.774
```

Output
energy above the most stable polymorph in this dataset: 0.05 eV per formula unit
energy of formation: 0.132 eV per atom
space group: No. 107
V: 70.1 Å³/f.u.
size of the total moment: 0.941 μB per atom

[16]
A relaxed LiCeScZn crystal, computed with PBE.

The structure in POSCAR format:
```
LiCeScZn
1.0
4.997 0.000 0.000
2.499 4.328 0.000
2.499 1.443 4.080
Sc Li Zn Ce
1 1 1 1
direct
0.250 0.250 0.250
0.500 0.500 0.500
0.000 0.000 0.000
0.750 0.750 0.750
```

Output
energy of formation: -0.015 eV per atom
space group: No. 216
V: 88.3 Å³/f.u.
size of the total moment: 0.263 μB per atom

[17]
A relaxed TbSc2TeO8 crystal, computed with PBE.

The structure in POSCAR format:
```
TbSc2TeO8
1.0
-2.885 3.827 -0.534
-3.666 -2.957 -1.041
-1.601 -0.301 6.497
O Sc Te Tb
8 2 1 1
direct
0.675 0.676 0.500
0.809 0.192 0.785
0.325 0.324 0.500
0.191 0.808 0.785
0.809 0.192 0.215
0.289 0.288 0.000
0.191 0.808 0.215
0.711 0.712 0.000
0.500 0.500 0.242
0.500 0.500 0.758
0.000 0.000 0.000
0.000 0.000 0.500
```

Output
formation energy (no corrections): -2.479 eV per atom
space group: No. 65
V: 155.8 Å³/f.u.
size of the total moment: 0.058 μB per atom

[18]
A relaxed HfCo2W2 crystal, computed with PBE.

The structure in POSCAR format:
```
HfCo2W2
1.0
-7.063 -0.104 1.692
-0.525 -6.758 -2.610
0.622 -1.027 2.533
W Hf Co
4 2 4
direct
0.830 0.330 0.500
0.670 0.830 0.500
0.330 0.170 0.500
0.170 0.670 0.500
0.500 0.500 0.000
0.000 0.000 0.000
0.124 0.376 0.000
0.876 0.624 0.000
0.624 0.124 0.000
0.376 0.876 0.000
```

Output
energy of formation: 0.105 eV per atom
space group: No. 127
V: 74.0 Å³/f.u.
size of the total moment: 0.000 μB per atom

[19]
A relaxed GePbN2F crystal, computed with PBE.

The structure in POSCAR format:
```
GePbN2F
1.0
3.875 0.000 0.000
0.000 3.875 0.000
0.000 0.000 4.320
Pb F N Ge
1 1 2 1
direct
0.500 0.500 0.500
0.000 0.000 0.500
0.000 0.500 0.000
0.500 0.000 0.000
0.000 0.000 0.000
```

Output
formation energy (no corrections): 0.040 eV per atom
energy above the most stable polymorph in this dataset: 0.00 eV per formula unit
space group: No. 123
V: 64.9 Å³/f.u.
size of the total moment: 0.107 μB per atom

[20]
A relaxed Ce3Tl2Cd3 crystal, computed with PBE.

The structure in POSCAR format:
```
Ce3Tl2Cd3
1.0
4.530 0.000 0.000
0.000 6.638 -3.832
0.000 0.000 7.665
Cd Tl Ce
3 2 3
direct
0.000 0.774 0.774
0.000 0.226 0.000
0.000 0.000 0.226
0.000 0.333 0.667
0.000 0.667 0.333
0.500 0.000 0.603
0.500 0.603 0.000
0.500 0.397 0.397
```

Output
energy above the most stable polymorph in this dataset: 0.27 eV per formula unit
energy of formation: -0.118 eV per atom
space group: No. 189
V: 230.5 Å³/f.u.
size of the total moment: 0.442 μB per atom

[21]
A relaxed MnCr4Au crystal, computed with PBE.

The structure in POSCAR format:
```
MnCr4Au
1.0
0.000 3.374 3.374
3.374 0.000 3.374
3.374 3.374 0.000
Cr Au Mn
4 1 1
direct
0.375 0.375 0.375
0.375 0.875 0.375
0.875 0.375 0.375
0.375 0.375 0.875
0.000 0.000 0.000
0.750 0.750 0.750
```

Output
energy of formation: 0.264 eV per atom
space group: No. 216
V: 76.8 Å³/f.u.
size of the total moment: 0.133 μB per atom

[22]
A relaxed Tb3Pm3Mg crystal, computed with PBE.

The structure in POSCAR format:
```
Tb3Pm3Mg
1.0
-2.174 -2.497 5.283
1.057 -6.011 1.273
11.566 0.653 8.746
Pm Mg Tb
6 2 6
direct
0.936 0.270 0.192
0.730 0.398 0.808
0.398 0.064 0.808
0.270 0.602 0.192
0.602 0.936 0.192
0.064 0.730 0.808
0.333 0.333 0.000
0.667 0.667 0.000
0.799 0.132 0.603
0.465 0.799 0.603
0.868 0.535 0.397
0.535 0.201 0.397
0.201 0.868 0.397
0.132 0.465 0.603
```

Output
energy above the most stable polymorph in this dataset: 0.54 eV per formula unit
energy of formation: 0.091 eV per atom
space group: No. 148
V: 236.7 Å³/f.u.
size of the total moment: 0.000 μB per atom